1.
Entry from the Alexandria database: a relaxed structure of La2Y2In (PBE-GGA).

Cell lengths 8.2759, 8.2759, 4.8548 Å; angles 90.00, 90.00, 90.00 degrees
Last column: nearest neighbours and their distance in Å.
Sites, in units of the cell vectors:
La: 0.6309 0.1309 0.0000  1 La 3.06, 2 In 3.24, 2 Y 3.39
La: 0.1309 0.3691 0.0000  1 La 3.06, 2 In 3.24, 2 Y 3.39
La: 0.8691 0.6309 0.0000  1 La 3.06, 2 In 3.24, 2 Y 3.39
La: 0.3691 0.8691 0.0000  1 La 3.06, 2 In 3.24, 2 Y 3.39
Y: 0.3328 0.1672 0.5000  6 La 3.39-3.47
Y: 0.1672 0.6672 0.5000  6 La 3.39-3.47
Y: 0.6672 0.8328 0.5000  6 La 3.39-3.47
Y: 0.8328 0.3328 0.5000  6 La 3.39-3.47
In: 0.5000 0.5000 0.0000  4 La 3.24
In: 0.0000 0.0000 0.0000  4 La 3.24

Formation energy ... 63 meV per atom
Space-group type ... P4/mbm
Energy ... -5.0412 eV per atom
E above lowest polymorph ... 249 meV/atom
D(E_F) ... 10.83 states/eV per cell
Magnetic moment ... 0.0 μB per formula unit

2.
Entry from the Alexandria database: a relaxed structure of AlReRu2 (PBE-GGA).

Cell lengths 2.8744, 4.5345, 4.3814 Å; angles 90.00, 90.00, 90.00 degrees
Last column: nearest neighbours and their distance in Å.
Sites, in units of the cell vectors:
Re: 0.0000 0.5000 0.5000  4 Ru 2.62, 4 Al 2.68, 2 Re 2.87
Al: 0.5000 0.0000 0.5000  4 Ru 2.62, 4 Re 2.68, 2 Al 2.87
Ru: 0.0000 0.0000 0.0000  4 Al 2.62, 6 Ru 2.68-2.87
Ru: 0.5000 0.5000 0.0000  4 Re 2.62, 6 Ru 2.68-2.87

Formation energy ... 20 meV per atom
Space-group type ... Pmmm
Energy ... -8.6654 eV per atom
D(E_F) ... 4.07 states/eV per cell
Magnetic moment ... 0.0 μB per formula unit

3.
Entry from the Alexandria database: a relaxed structure of BaH3Pd (PBE-GGA).

Cell lengths 4.1767, 4.1767, 9.2428 Å; angles 76.94, 76.94, 90.00 degrees
Last column: nearest neighbours and their distance in Å.
Sites, in units of the cell vectors:
H: 0.6475 0.6475 0.7049  2 Pd 2.09, 4 H 2.26
H: 0.4892 0.8956 0.2088  1 H 0.78
H: 0.1044 0.6980 0.7912  1 H 0.78
H: 0.3525 0.3525 0.2951  2 Pd 2.09, 4 H 2.26
H: 0.3020 0.8956 0.2088  1 H 0.78
H: 0.1044 0.5108 0.7912  1 H 0.78
Ba: 0.2500 0.7500 0.5000  8 H 2.58-2.75
Ba: 0.0000 0.0000 0.0000  4 H 2.49
Pd: 0.8536 0.3536 0.2929  2 H 2.09
Pd: 0.6464 0.1464 0.7071  2 H 2.09

Space-group type ... I-4m2
Energy ... -3.5058 eV per atom
D(E_F) ... 2.43 states/eV per cell
Magnetic moment ... 0.0 μB per formula unit

4.
Entry from the Alexandria database: a relaxed structure of Tb2Tl5Cd (PBE-GGA).

Cell lengths 4.7976, 6.6359, 13.3095 Å; angles 90.00, 90.00, 90.00 degrees
Last column: nearest neighbours and their distance in Å.
Sites, in units of the cell vectors:
Tb: 0.5000 0.7641 0.1284  10 Tl 3.30-3.37, 2 Cd 3.43
Tb: 0.5000 0.7359 0.6284  10 Tl 3.30-3.37, 2 Cd 3.43
Tb: 0.5000 0.2641 0.3716  10 Tl 3.30-3.37, 2 Cd 3.43
Tb: 0.5000 0.2359 0.8716  10 Tl 3.30-3.37, 2 Cd 3.43
Tl: 0.5000 0.7331 0.8803  2 Cd 3.27, 4 Tb 3.30-3.35, 6 Tl 3.36-3.42
Tl: 0.0000 0.5159 0.2460  1 Cd 3.28, 4 Tb 3.30-3.37, 7 Tl 3.32-3.42
Tl: 0.0000 0.9841 0.7460  1 Cd 3.28, 4 Tb 3.30-3.37, 7 Tl 3.32-3.42
Tl: 0.5000 0.2331 0.6197  2 Cd 3.27, 4 Tb 3.30-3.35, 6 Tl 3.36-3.42
Tl: 0.0000 0.0159 0.2540  1 Cd 3.28, 4 Tb 3.30-3.37, 7 Tl 3.32-3.42
Tl: 0.5000 0.2669 0.1197  2 Cd 3.27, 4 Tb 3.30-3.35, 6 Tl 3.36-3.42
Tl: 0.5000 0.7669 0.3803  2 Cd 3.27, 4 Tb 3.30-3.35, 6 Tl 3.36-3.42
Tl: 0.0000 0.0000 0.0000  2 Cd 3.32, 4 Tb 3.34, 6 Tl 3.38
Tl: 0.0000 0.4841 0.7540  1 Cd 3.28, 4 Tb 3.30-3.37, 7 Tl 3.32-3.42
Tl: 0.0000 0.5000 0.5000  2 Cd 3.32, 4 Tb 3.34, 6 Tl 3.38
Cd: 0.0000 0.0000 0.5000  8 Tl 3.27-3.32, 4 Tb 3.43
Cd: 0.0000 0.5000 0.0000  8 Tl 3.27-3.32, 4 Tb 3.43

Formation energy ... -252 meV per atom
Space-group type ... Pbam
Energy ... -3.0028 eV per atom
D(E_F) ... 7.75 states/eV per cell
Magnetic moment ... 0.0 μB per formula unit

5.
Entry from the Alexandria database: a relaxed structure of TaCrI3 (PBE-GGA).

Cell lengths 5.1552, 5.1552, 5.1552 Å; angles 90.00, 90.00, 90.00 degrees
Last column: nearest neighbours and their distance in Å.
Sites, in units of the cell vectors:
Ta: 0.5000 0.5000 0.5000  12 I 3.65
I: 0.0000 0.5000 0.0000  2 Cr 2.58
I: 0.5000 0.0000 0.0000  2 Cr 2.58
I: 0.0000 0.0000 0.5000  2 Cr 2.58
Cr: 0.0000 0.0000 0.0000  6 I 2.58

Space-group type ... Pm-3m
Energy ... -3.7539 eV per atom
E above lowest polymorph ... 58 meV/atom
Raw formation energy ... 1.4714 eV/atom
D(E_F) ... 12.15 states/eV per cell
Magnetic moment ... 0.0 μB per formula unit

6.
Entry from the Alexandria database: a relaxed structure of In2TcSe (PBE-GGA).

Cell lengths 3.1300, 3.1300, 8.8536 Å; angles 90.00, 90.00, 90.00 degrees
Last column: nearest neighbours and their distance in Å.
Sites, in units of the cell vectors:
In: 0.5000 0.5000 0.2429  8 In 3.13-3.40
In: 0.0000 0.0000 0.9520  4 Tc 3.00, 4 In 3.13, 1 Se 3.28
Se: 0.0000 0.0000 0.5813  4 Tc 2.55
Tc: 0.5000 0.5000 0.7238  4 Se 2.55

Space-group type ... P4mm
Energy ... -4.8559 eV per atom
Raw formation energy ... -0.0240 eV/atom
D(E_F) ... 1.98 states/eV per cell
Magnetic moment ... 0.0 μB per formula unit

7.
Entry from the Alexandria database: a relaxed structure of KH8Ru2 (PBE-GGA).

Cell lengths 5.2018, 4.9012, 4.9012 Å; angles 119.96, 89.97, 89.97 degrees
Last column: nearest neighbours and their distance in Å.
Sites, in units of the cell vectors:
Ru: 0.5512 0.3303 0.6638  4 H 1.58-1.76
Ru: 0.5512 0.6638 0.3303  4 H 1.58-1.76
H: 0.3920 0.6389 0.9970  2 Ru 1.78
H: 0.6560 0.3145 0.9971  2 Ru 1.76, 2 H 1.97
H: 0.3910 0.3567 0.3567  2 Ru 1.78
H: 0.6560 0.9971 0.3145  2 Ru 1.76, 2 H 1.97
H: 0.8558 0.6635 0.3292  1 Ru 1.58
H: 0.3920 0.9970 0.6389  2 Ru 1.78
H: 0.6584 0.6778 0.6778  2 Ru 1.76, 2 H 1.96
H: 0.8558 0.3292 0.6635  1 Ru 1.58
K: 0.0410 0.9973 0.9973  6 H 2.53-2.54

Space-group type ... Cm
Energy ... -4.1750 eV per atom
D(E_F) ... 3.87 states/eV per cell
Magnetic moment ... 0.6 μB per formula unit

8.
Entry from the Alexandria database: a relaxed structure of B2RhAu (PBE-GGA).

Cell lengths 4.8389, 4.8389, 5.9277 Å; angles 65.91, 65.91, 90.00 degrees
Last column: nearest neighbours and their distance in Å.
Sites, in units of the cell vectors:
B: 0.8750 0.8474 0.7500  2 Rh 2.02, 2 Au 2.18
B: 0.5974 0.1250 0.2500  2 Rh 2.02, 2 Au 2.18
B: 0.3750 0.4026 0.7500  2 Rh 2.02, 2 Au 2.18
B: 0.1526 0.6250 0.2500  2 Rh 2.02, 2 Au 2.18
Rh: 0.5000 0.5000 0.0000  4 B 2.02
Rh: 0.2500 0.7500 0.5000  4 B 2.02
Au: 0.0000 0.0000 0.0000  4 B 2.18
Au: 0.7500 0.2500 0.5000  4 B 2.18

Formation energy ... 405 meV per atom
Space-group type ... I-42d
Energy ... -5.5909 eV per atom
E above lowest polymorph ... 0 meV/atom
D(E_F) ... 2.70 states/eV per cell
Magnetic moment ... 0.0 μB per formula unit

9.
Entry from the Alexandria database: a relaxed structure of Ca3SbN (PBE-GGA).

Cell lengths 4.8738, 4.8738, 4.8738 Å; angles 90.00, 90.00, 90.00 degrees
Last column: nearest neighbours and their distance in Å.
Sites, in units of the cell vectors:
Ca: 0.0000 0.5000 0.0000  2 N 2.44
Ca: 0.0000 0.0000 0.5000  2 N 2.44
Ca: 0.5000 0.0000 0.0000  2 N 2.44
Sb: 0.5000 0.5000 0.5000  12 Ca 3.45
N: 0.0000 0.0000 0.0000  6 Ca 2.44

Space-group type ... Pm-3m
Energy ... -4.7897 eV per atom
Raw formation energy ... -1.0992 eV/atom
D(E_F) ... 0.00 states/eV per cell
Magnetic moment ... 0.0 μB per formula unit

10.
Entry from the Alexandria database: a relaxed structure of MgGeTe2I (PBE-GGA).

Cell lengths 5.4707, 5.4707, 5.6266 Å; angles 90.00, 90.00, 90.00 degrees
Last column: nearest neighbours and their distance in Å.
Sites, in units of the cell vectors:
Ge: 0.0000 0.0000 0.0000  4 Te 2.74, 2 I 2.81
Mg: 0.5000 0.5000 0.5000  4 I 3.87, 8 Te 3.92
Te: 0.0000 0.5000 0.0000  2 Ge 2.74
Te: 0.5000 0.0000 0.0000  2 Ge 2.74
I: 0.0000 0.0000 0.5000  2 Ge 2.81

Space-group type ... P4/mmm
Energy ... -2.6320 eV per atom
E above lowest polymorph ... 0 meV/atom
Raw formation energy ... 0.1771 eV/atom
D(E_F) ... 2.47 states/eV per cell
Magnetic moment ... 0.0 μB per formula unit

11.
Entry from the Alexandria database: a relaxed structure of PmSm2AlN (PBE-GGA).

Cell lengths 4.9497, 4.9191, 4.9191 Å; angles 90.00, 90.00, 90.00 degrees
Last column: nearest neighbours and their distance in Å.
Sites, in units of the cell vectors:
Sm: 0.0000 0.5000 0.0000  2 N 2.46
Sm: 0.0000 0.0000 0.5000  2 N 2.46
Pm: 0.5000 0.0000 0.0000  2 N 2.47
N: 0.0000 0.0000 0.0000  4 Sm 2.46, 2 Pm 2.47
Al: 0.5000 0.5000 0.5000  4 Pm 3.48, 8 Sm 3.49

Space-group type ... P4/mmm
Energy ... -6.0574 eV per atom
Raw formation energy ... -0.8060 eV/atom
D(E_F) ... 2.68 states/eV per cell
Magnetic moment ... 0.0 μB per formula unit

12.
Entry from the Alexandria database: a relaxed structure of BeAuBr4 (PBE-GGA).

Cell lengths 6.2074, 6.2074, 6.2074 Å; angles 60.00, 60.00, 60.00 degrees
Last column: nearest neighbours and their distance in Å.
Sites, in units of the cell vectors:
Be: 0.0000 0.0000 0.0000  12 Br 3.64, 4 Au 3.80
Br: 0.3761 0.8717 0.3761  6 Br 3.08-3.13
Br: 0.3761 0.3761 0.3761  6 Br 3.08-3.13
Br: 0.8717 0.3761 0.3761  6 Br 3.08-3.13
Br: 0.3761 0.3761 0.8717  6 Br 3.08-3.13
Au: 0.7500 0.7500 0.7500  12 Br 3.64, 4 Be 3.80

Space-group type ... F-43m
Energy ... -1.1116 eV per atom
Raw formation energy ... 1.1709 eV/atom
D(E_F) ... 6.19 states/eV per cell
Magnetic moment ... 1.1 μB per formula unit